Entry 1:
## Sc2ZnPb (PBE)

Data for Sc2ZnPb after structural relaxation.

abc: 3.3029 3.3029 30.5052
angles: 90.00 90.00 120.00
Space group R3m (No. 160, hexagonal axes)
Asymmetric unit:
Sc (0.0000, 0.0000, 0.0000) [3 per cell]
Sc (0.0000, 0.0000, 0.2509) [3 per cell]
Zn (0.0000, 0.0000, 0.7411) [3 per cell]
Pb (0.0000, 0.0000, 0.4929) [3 per cell]

Results
Magnetization (μB per atom): 0.1489
ΔH_f (0 K) (eV per formula unit): -0.046
Calculated density (g/cm3): 6.3

Entry 2:
## TiGaSe3 (PBE)

Data for TiGaSe3 after structural relaxation.

abc: 6.4566 3.7264 10.6054
angles: 90.00 95.55 90.00
Space group P2_1/m (No. 11)
Asymmetric unit:
Ti (0.0305, 0.2500, 0.1342) [2 per cell]
Ga (0.4984, 0.7500, 0.2561) [2 per cell]
Se (0.1296, 0.2500, 0.7304) [2 per cell]
Se (0.2630, 0.7500, 0.0426) [2 per cell]
Se (0.3197, 0.2500, 0.3425) [2 per cell]

Results
Magnetization (μB per atom): 0.1625
Raw total energy (eV/atom): -5.09
Calculated density (g/cm3): 4.6

Entry 3:
## Tb6PSe12 (PBE)

Data for Tb6PSe12 after structural relaxation.

abc: 12.1804 12.1804 11.8472
angles: 90.00 90.00 120.00
Space group R-3 (No. 148, hexagonal axes)
Asymmetric unit:
Tb (0.0494, 0.7707, 0.1360) [18 per cell]
P (0.0000, 0.0000, 0.5000) [3 per cell]
Se (0.0342, 0.8205, 0.8974) [18 per cell]
Se (0.0761, 0.8704, 0.3836) [18 per cell]

Results
Magnetization (μB per atom): 0.0000
Raw total energy (eV/atom): -5.34
Calculated density (g/cm3): 6.3

Entry 4:
## ZrSc2Cu3 (PBE)

Data for ZrSc2Cu3 after structural relaxation.

abc: 4.6801 14.0033 3.1856
angles: 90.00 90.00 90.00
Space group Cmmm (No. 65)
Asymmetric unit:
Zr (0.0000, 0.0000, 0.0000) [2 per cell]
Sc (0.0000, 0.3326, 0.0000) [4 per cell]
Cu (0.0000, 0.1675, 0.5000) [4 per cell]
Cu (0.0000, 0.5000, 0.5000) [2 per cell]

Results
Magnetization (μB per atom): 0.0002
ΔH_f (0 K) (eV per formula unit): -1.253
Calculated density (g/cm3): 5.9
Offset from the most stable computed form (meV/atom): 7.1

Entry 5:
## Nb3SnS6 (PBE)

Data for Nb3SnS6 after structural relaxation.

abc: 5.8428 5.8428 14.6116
angles: 90.00 90.00 120.00
Space group P6_3/mcm (No. 193)
Asymmetric unit:
Nb (0.0000, 0.0000, 0.2500) [2 per cell]
Nb (0.3333, 0.6667, 0.2500) [4 per cell]
Sn (0.0000, 0.0000, 0.0000) [2 per cell]
S (0.0000, 0.3352, 0.1429) [12 per cell]

Results
Magnetization (μB per atom): 0.0000
Raw total energy (eV/atom): -6.94
Calculated density (g/cm3): 4.5

Entry 6:
## Al2ZnOs (PBE)

Data for Al2ZnOs after structural relaxation.

abc: 5.6898 6.4273 3.0991
angles: 90.00 90.00 90.00
Space group Cmmm (No. 65)
Asymmetric unit:
Al (0.2500, 0.2500, 0.0000) [4 per cell]
Zn (0.0000, 0.0000, 0.5000) [2 per cell]
Os (0.0000, 0.5000, 0.5000) [2 per cell]

Results
Magnetization (μB per atom): 0.0000
ΔH_f (0 K) (eV per formula unit): -0.784
Calculated density (g/cm3): 9.1